Version P
Material: CePrTh
Method: DFT, PBE
State: relaxed

```
CePrTh
1.0
-0.8283 3.0947 -1.5549
-2.5847 -2.2148 1.0465
-0.1636 3.8941 7.8374
Pr Th Ce
1 1 1
direct
0.0000 0.0000 0.9985
0.3333 0.6667 0.6576
0.6667 0.3333 0.3439
```

Properties
Symmetry: P3m1 (156)

Version Q
Material: CePrTh
Method: DFT, PBE
State: relaxed

```
CePrTh
1.0
-0.8160 -1.1010 -3.2752
3.4048 -0.8296 -0.5694
-2.5089 -13.9428 5.3120
Th Pr Ce
2 2 2
direct
0.5000 0.0000 0.4177
0.0000 0.5000 0.5823
0.0000 0.5000 0.9067
0.5000 0.0000 0.0933
0.5000 0.0000 0.7396
0.0000 0.5000 0.2604
```

Properties
Symmetry: P4/nmm (129)

Version R
Material: CePrTh
Method: DFT, PBE
State: relaxed

```
CePrTh
1.0
4.0936 0.0000 0.0000
0.0000 4.0936 0.0000
-2.0468 -2.0468 12.6944
Th Pr Ce
2 2 2
direct
0.2865 0.2865 0.5729
0.7135 0.7135 0.4271
0.4281 0.4281 0.8562
0.5719 0.5719 0.1438
0.8447 0.8447 0.6894
0.1553 0.1553 0.3106
```

Properties
Symmetry: I4/mmm (139)

Stability summary - winner: version Q; margin: 24 meV per atom.

Version P
Material: CePrTmTh
Method: DFT, PBE
State: relaxed

```
CePrTmTh
1.0
5.6701 0.0000 0.0000
2.8350 4.9104 0.0000
2.8350 1.6368 4.6296
Tm Ce Th Pr
1 1 1 1
direct
0.5000 0.5000 0.5000
0.0000 0.0000 0.0000
0.7500 0.7500 0.7500
0.2500 0.2500 0.2500
```

Properties
Symmetry: F-43m (216)

Version Q
Material: CePrTmTh
Method: DFT, PBE
State: relaxed

```
CePrTmTh
1.0
-2.2701 -2.2240 1.6072
3.4885 -0.7162 -0.0094
1.5811 7.5831 8.7814
Ce Tm Pr Th
1 1 1 1
direct
0.3034 0.5498 0.8687
0.4758 0.1359 0.6260
0.9684 0.3821 0.3661
0.1303 0.9630 0.1088
```

Properties
Symmetry: R3m (160)

Stability summary - winner: version Q; margin: 171 meV per atom.

Version P
Material: Ce2PrTl
Method: DFT, PBE
State: relaxed

```
Ce2PrTl
1.0
-1.8797 1.3835 -2.6561
-3.0325 -1.5194 -0.9988
-7.3750 6.4968 6.2496
Ce Tl Pr
2 1 1
direct
0.2540 0.2540 0.2381
0.0790 0.0790 0.7630
0.6662 0.6662 0.0013
0.5008 0.5008 0.4976
```

Properties
Symmetry: R3m (160)

Version Q
Material: Ce2PrTl
Method: DFT, PBE
State: relaxed

```
Ce2PrTl
1.0
-0.4230 2.4823 4.4577
-1.6719 -3.9881 2.0621
4.4722 -1.2853 1.1402
Pr Ce Tl
1 2 1
direct
0.5000 0.5000 0.5000
0.0000 0.0000 0.5000
0.0000 0.5000 0.0000
0.5000 0.0000 0.0000
```

Properties
Symmetry: P4/mmm (123)

Stability summary - winner: version Q; margin: 157 meV per atom.